# 1
A crystal of Y2Rh relaxed with PBEsol. Source: Alexandria, functional SCAN.

Results
Crystal system ... cubic
Formation enthalpy at 0 K ... -0.7239 eV/atom

Unit cell a=6.7406 b=6.7406 c=6.7406 alpha=90.00 beta=90.00 gamma=90.00
Space group Pa-3 (No. 205)
Symmetry-distinct sites (fractional):
Y1 0.1643 0.1643 0.1643 x8
Rh1 0.0000 0.0000 0.5000 x4

# 2
A crystal of CaHgGe2Os relaxed with PBEsol. Source: Alexandria, functional SCAN.

Results
Crystal system ... tetragonal
Formation enthalpy at 0 K ... 1.1173 eV/atom

Unit cell a=5.0207 b=5.0207 c=5.1388 alpha=90.00 beta=90.00 gamma=90.00
Space group P4/mmm (No. 123)
Symmetry-distinct sites (fractional):
Ca1 0.0000 0.0000 0.0000 x1
Hg1 0.5000 0.5000 0.5000 x1
Ge1 0.0000 0.5000 0.5000 x2
Os1 0.5000 0.5000 0.0000 x1

# 3
A crystal of MnFe relaxed with PBEsol. Source: Alexandria, functional SCAN.

Results
Crystal system ... hexagonal
Formation enthalpy at 0 K ... 1.2410 eV/atom

Unit cell a=3.7329 b=3.7329 c=4.4373 alpha=90.00 beta=90.00 gamma=120.00
Space group P6_3/mmc (No. 194)
Symmetry-distinct sites (fractional):
Mn1 0.3333 0.6667 0.2500 x2
Fe1 0.3333 0.6667 0.7500 x2

# 4
A crystal of Ti2MoIr relaxed with PBEsol. Source: Alexandria, functional SCAN.

Results
Crystal system ... cubic
Formation enthalpy at 0 K ... -0.7845 eV/atom

Unit cell a=6.1719 b=6.1719 c=6.1719 alpha=90.00 beta=90.00 gamma=90.00
Space group Fm-3m (No. 225)
Symmetry-distinct sites (fractional):
Ti1 0.2500 0.2500 0.2500 x8
Mo1 0.0000 0.0000 0.0000 x4
Ir1 0.0000 0.0000 0.5000 x4

# 5
A crystal of Hg4As2I3 relaxed with PBEsol. Source: Alexandria, functional SCAN.

Results
Crystal system ... cubic
Formation energy without anion corrections ... -0.1808 eV/atom

Unit cell a=13.0120 b=13.0120 c=13.0120 alpha=90.00 beta=90.00 gamma=90.00
Space group Pa-3 (No. 205)
Symmetry-distinct sites (fractional):
Hg1 0.0084 0.2400 0.5360 x24
Hg2 0.2234 0.2234 0.2234 x8
As1 0.0538 0.5538 0.9462 x8
As2 0.1104 0.1104 0.1104 x8
I1 0.0565 0.7405 0.6893 x24

# 6
A crystal of KAl relaxed with PBEsol. Source: Alexandria, functional SCAN.

Results
Crystal system ... orthorhombic
Formation enthalpy at 0 K ... 0.2653 eV/atom

Unit cell a=4.6572 b=3.4248 c=9.2377 alpha=90.00 beta=90.00 gamma=90.00
Space group Pmma (No. 51)
Symmetry-distinct sites (fractional):
K1 0.2500 0.0000 0.2129 x2
Al1 0.2500 0.5000 0.5617 x2

# 7
A crystal of YSc2Hg relaxed with PBEsol. Source: Alexandria, functional SCAN.

Results
Crystal system ... tetragonal
Formation enthalpy at 0 K ... -0.3172 eV/atom

Unit cell a=3.3862 b=3.3862 c=8.3814 alpha=90.00 beta=90.00 gamma=90.00
Space group P4mm (No. 99)
Symmetry-distinct sites (fractional):
Y1 0.0000 0.0000 0.0000 x1
Sc1 0.0000 0.0000 0.4673 x1
Sc2 0.5000 0.5000 0.7189 x1
Hg1 0.5000 0.5000 0.2543 x1

# 8
A crystal of Ba4CrP relaxed with PBEsol. Source: Alexandria, functional SCAN.

Results
Crystal system ... cubic
Formation enthalpy at 0 K ... 0.6504 eV/atom

Unit cell a=9.6989 b=9.6989 c=9.6989 alpha=90.00 beta=90.00 gamma=90.00
Space group F-43m (No. 216)
Symmetry-distinct sites (fractional):
Ba1 0.1237 0.1237 0.1237 x16
Cr1 0.0000 0.0000 0.5000 x4
P1 0.2500 0.2500 0.7500 x4

no.,VASP energy (eV per atom)
1,-30.543
2,-36.460
3,-16.951
4,-35.296
5,-47.211
6,-7.775
7,-31.438
8,-30.514